(1)
Li2CdBi | PBE-GGA | relaxed

Unit cell a=4.9166 b=4.9166 c=4.9166 alpha=60.00 beta=60.00 gamma=60.00
Atoms (fractional coordinates):
Li (0.2500, 0.2500, 0.2500)
Li (0.7500, 0.7500, 0.7500)
Cd (0.0000, 0.0000, 0.0000)
Bi (0.5000, 0.5000, 0.5000)

**Space group**: No. 225



(2)
Li3CdBi | PBE-GGA | relaxed

Unit cell a=8.2497 b=8.2497 c=8.2497 alpha=42.36 beta=42.36 gamma=42.36
Atoms (fractional coordinates):
Li (0.2481, 0.7365, 0.7365)
Li (0.2635, 0.2635, 0.7519)
Li (0.2635, 0.7519, 0.2635)
Li (0.7365, 0.2481, 0.7365)
Li (0.7365, 0.7365, 0.2481)
Li (0.7519, 0.2635, 0.2635)
Cd (0.3252, 0.3252, 0.3252)
Cd (0.6748, 0.6748, 0.6748)
Bi (0.1935, 0.1935, 0.1935)
Bi (0.8065, 0.8065, 0.8065)

**Space group**: No. 166



(3)
Li2CdBi2 | PBE-GGA | relaxed

Unit cell a=8.6579 b=8.6579 c=3.3277 alpha=90.00 beta=90.00 gamma=90.00
Atoms (fractional coordinates):
Li (0.1197, 0.3803, 0.0000)
Li (0.3803, 0.8803, 0.0000)
Li (0.6197, 0.1197, 0.0000)
Li (0.8803, 0.6197, 0.0000)
Cd (0.0000, 0.0000, 0.5000)
Cd (0.5000, 0.5000, 0.5000)
Bi (0.1781, 0.6781, 0.5000)
Bi (0.3219, 0.1781, 0.5000)
Bi (0.6781, 0.8219, 0.5000)
Bi (0.8219, 0.3219, 0.5000)

**Space group**: No. 127



(4)
Li2CdBi | PBE-GGA | relaxed

Unit cell a=3.3670 b=3.3670 c=9.5296 alpha=100.09 beta=100.09 gamma=60.38
Atoms (fractional coordinates):
Li (0.0000, 0.0000, 0.0000)
Li (0.1661, 0.1661, 0.4978)
Cd (0.4175, 0.4175, 0.2483)
Bi (0.5829, 0.5829, 0.7480)

**Space group**: No. 8



(5)
LiCdBi3 | PBE-GGA | relaxed

Unit cell a=5.7326 b=5.7326 c=5.7326 alpha=90.00 beta=90.00 gamma=90.00
Atoms (fractional coordinates):
Li (0.0000, 0.0000, 0.0000)
Cd (0.5000, 0.5000, 0.5000)
Bi (0.0000, 0.5000, 0.5000)
Bi (0.5000, 0.0000, 0.5000)
Bi (0.5000, 0.5000, 0.0000)

**Space group**: No. 221



(6)
LiCdBi | PBE-GGA | relaxed

Unit cell a=4.9255 b=4.9255 c=3.5701 alpha=90.00 beta=90.00 gamma=120.00
Atoms (fractional coordinates):
Li (0.0000, 0.0000, 0.0000)
Cd (0.6667, 0.3333, 0.2796)
Bi (0.3333, 0.6667, 0.6095)

**Space group**: No. 156



(7)
Li6CdBi2 | PBE-GGA | relaxed

Unit cell a=8.2001 b=8.2001 c=4.8481 alpha=102.95 beta=102.95 gamma=46.50
Atoms (fractional coordinates):
Li (0.0437, 0.5836, 0.2964)
Li (0.2226, 0.7774, 0.0000)
Li (0.4164, 0.9563, 0.7036)
Li (0.5836, 0.0437, 0.2964)
Li (0.7774, 0.2226, 0.0000)
Li (0.9563, 0.4164, 0.7036)
Cd (0.5000, 0.5000, 0.5000)
Bi (0.1599, 0.1599, 0.1865)
Bi (0.8401, 0.8401, 0.8135)

**Space group**: No. 12



(8)
Li2Cd3Bi2 | PBE-GGA | relaxed

Unit cell a=5.3288 b=5.3288 c=8.1892 alpha=108.05 beta=108.05 gamma=54.80
Atoms (fractional coordinates):
Li (0.0673, 0.0673, 0.3361)
Li (0.9327, 0.9327, 0.6639)
Cd (0.1622, 0.1622, 0.0365)
Cd (0.5000, 0.5000, 0.5000)
Cd (0.8378, 0.8378, 0.9635)
Bi (0.2581, 0.2581, 0.7122)
Bi (0.7419, 0.7419, 0.2878)

**Space group**: No. 12



(9)
Li6CdBi5 | PBE-GGA | relaxed

Unit cell a=5.1459 b=6.7841 c=8.0545 alpha=90.00 beta=100.68 gamma=90.00
Atoms (fractional coordinates):
Li (0.0000, 0.2431, 0.0000)
Li (0.0000, 0.7569, 0.0000)
Li (0.3095, 0.2571, 0.6686)
Li (0.3095, 0.7429, 0.6686)
Li (0.6905, 0.2571, 0.3314)
Li (0.6905, 0.7429, 0.3314)
Cd (0.5000, 0.5000, 0.0000)
Bi (0.1861, 0.5000, 0.3148)
Bi (0.1970, 0.0000, 0.3385)
Bi (0.5000, 0.0000, 0.0000)
Bi (0.8030, 0.0000, 0.6615)
Bi (0.8139, 0.5000, 0.6852)

**Space group**: No. 10



(10)
Li3Cd2Bi | PBE-GGA | relaxed

Unit cell a=4.8271 b=4.8271 c=5.9923 alpha=90.00 beta=90.00 gamma=120.00
Atoms (fractional coordinates):
Li (0.0000, 0.0000, 0.0000)
Li (0.3333, 0.6667, 0.6579)
Li (0.6667, 0.3333, 0.3421)
Cd (0.3333, 0.6667, 0.1398)
Cd (0.6667, 0.3333, 0.8602)
Bi (0.0000, 0.0000, 0.5000)

**Space group**: No. 164



(11)
Li2CdBi2 | PBE-GGA | relaxed

Unit cell a=6.9322 b=6.9322 c=6.9322 alpha=140.94 beta=140.94 gamma=56.42
Atoms (fractional coordinates):
Li (0.2500, 0.7500, 0.5000)
Li (0.7500, 0.2500, 0.5000)
Cd (0.0000, 0.0000, 0.0000)
Bi (0.3803, 0.3803, 0.0000)
Bi (0.6197, 0.6197, 0.0000)

**Space group**: No. 139



(12)
LiCdBi2 | PBE-GGA | relaxed

Unit cell a=4.9251 b=4.9251 c=4.3576 alpha=90.00 beta=90.00 gamma=90.00
Atoms (fractional coordinates):
Li (0.0000, 0.0000, 0.0000)
Cd (0.5000, 0.5000, 0.0000)
Bi (0.0000, 0.5000, 0.5000)
Bi (0.5000, 0.0000, 0.5000)

**Space group**: No. 123



(13)
LiCdBi3 | PBE-GGA | relaxed

Unit cell a=5.2378 b=5.2378 c=5.2378 alpha=90.00 beta=90.00 gamma=90.00
Atoms (fractional coordinates):
Li (0.0000, 0.0000, 0.0000)
Cd (0.5000, 0.5000, 0.5000)
Bi (0.0000, 0.0000, 0.5000)
Bi (0.0000, 0.5000, 0.0000)
Bi (0.5000, 0.0000, 0.0000)

**Space group**: No. 221



(14)
LiCdBi2 | PBE-GGA | relaxed

Unit cell a=10.4812 b=10.4812 c=10.4812 alpha=153.09 beta=153.09 gamma=38.42
Atoms (fractional coordinates):
Li (0.0000, 0.0000, 0.0000)
Li (0.7500, 0.2500, 0.5000)
Cd (0.2500, 0.7500, 0.5000)
Cd (0.5000, 0.5000, 0.0000)
Bi (0.0995, 0.6250, 0.9745)
Bi (0.3750, 0.3495, 0.4745)
Bi (0.6505, 0.1250, 0.0255)
Bi (0.8750, 0.9005, 0.5255)

**Space group**: No. 122



(15)
Li8CdBi6 | PBE-GGA | relaxed

Unit cell a=7.4421 b=7.4421 c=7.4421 alpha=70.84 beta=70.84 gamma=70.84
Atoms (fractional coordinates):
Li (0.1088, 0.6609, 0.4518)
Li (0.2014, 0.2014, 0.2014)
Li (0.3391, 0.5482, 0.8912)
Li (0.4518, 0.1088, 0.6609)
Li (0.5482, 0.8912, 0.3391)
Li (0.6609, 0.4518, 0.1088)
Li (0.7986, 0.7986, 0.7986)
Li (0.8912, 0.3391, 0.5482)
Cd (0.5000, 0.5000, 0.5000)
Bi (0.0677, 0.3577, 0.8286)
Bi (0.1714, 0.9323, 0.6423)
Bi (0.3577, 0.8286, 0.0677)
Bi (0.6423, 0.1714, 0.9323)
Bi (0.8286, 0.0677, 0.3577)
Bi (0.9323, 0.6423, 0.1714)

**Space group**: No. 148



(16)
Li4Cd5Bi | PBE-GGA | relaxed

Unit cell a=4.5912 b=6.1285 c=8.1617 alpha=110.72 beta=106.26 gamma=90.12
Atoms (fractional coordinates):
Li (0.0981, 0.3793, 0.1949)
Li (0.3038, 0.2165, 0.6065)
Li (0.6962, 0.7835, 0.3935)
Li (0.9019, 0.6207, 0.8051)
Cd (0.1169, 0.9141, 0.2332)
Cd (0.2867, 0.7015, 0.5761)
Cd (0.5000, 0.0000, 0.0000)
Cd (0.7133, 0.2985, 0.4239)
Cd (0.8831, 0.0859, 0.7668)
Bi (0.5000, 0.5000, 0.0000)

**Space group**: No. 2



(17)
Li6Cd2Bi | PBE-GGA | relaxed

Unit cell a=5.5738 b=5.5738 c=5.5738 alpha=94.03 beta=94.03 gamma=94.03
Atoms (fractional coordinates):
Li (0.0000, 0.3325, 0.6675)
Li (0.0000, 0.6675, 0.3325)
Li (0.3325, 0.0000, 0.6675)
Li (0.3325, 0.6675, 0.0000)
Li (0.6675, 0.0000, 0.3325)
Li (0.6675, 0.3325, 0.0000)
Cd (0.1565, 0.1565, 0.1565)
Cd (0.8435, 0.8435, 0.8435)
Bi (0.5000, 0.5000, 0.5000)

**Space group**: No. 166



(18)
Li2CdBi | PBE-GGA | relaxed

Unit cell a=4.5051 b=4.5051 c=4.2203 alpha=90.00 beta=90.00 gamma=90.00
Atoms (fractional coordinates):
Li (0.0000, 0.5000, 0.0000)
Li (0.5000, 0.0000, 0.0000)
Cd (0.0000, 0.0000, 0.5000)
Bi (0.5000, 0.5000, 0.5000)

**Space group**: No. 123



(19)
Li3CdBi3 | PBE-GGA | relaxed

Unit cell a=6.9334 b=6.9334 c=7.4304 alpha=90.01 beta=90.01 gamma=90.85
Atoms (fractional coordinates):
Li (0.2481, 0.7519, 0.0000)
Li (0.2483, 0.7517, 0.5000)
Li (0.2525, 0.2525, 0.0004)
Li (0.7475, 0.7475, 0.9996)
Li (0.7519, 0.2481, 0.0000)
Li (0.7517, 0.2483, 0.5000)
Cd (0.3485, 0.3485, 0.4991)
Cd (0.6515, 0.6515, 0.5009)
Bi (0.9999, 0.9999, 0.2541)
Bi (0.0001, 0.0001, 0.7459)
Bi (0.9997, 0.5001, 0.2416)
Bi (0.0003, 0.4999, 0.7584)
Bi (0.5001, 0.9997, 0.2416)
Bi (0.4999, 0.0003, 0.7584)

**Space group**: No. 12



(20)
Li2CdBi2 | PBE-GGA | relaxed

Unit cell a=8.4275 b=8.4275 c=3.3511 alpha=90.00 beta=90.00 gamma=90.00
Atoms (fractional coordinates):
Li (0.1179, 0.3821, 0.0000)
Li (0.3821, 0.8821, 0.0000)
Li (0.6179, 0.1179, 0.0000)
Li (0.8821, 0.6179, 0.0000)
Cd (0.0000, 0.0000, 0.0000)
Cd (0.5000, 0.5000, 0.0000)
Bi (0.1822, 0.6822, 0.5000)
Bi (0.3178, 0.1822, 0.5000)
Bi (0.6822, 0.8178, 0.5000)
Bi (0.8178, 0.3178, 0.5000)

**Space group**: No. 127



(21)
Li4Cd2Bi | PBE-GGA | relaxed

Unit cell a=8.0519 b=8.0519 c=8.0519 alpha=141.71 beta=141.71 gamma=55.26
Atoms (fractional coordinates):
Li (0.0000, 0.5000, 0.5000)
Li (0.1923, 0.1923, 0.0000)
Li (0.5000, 0.0000, 0.5000)
Li (0.8077, 0.8077, 0.0000)
Cd (0.3903, 0.3903, 0.0000)
Cd (0.6097, 0.6097, 0.0000)
Bi (0.0000, 0.0000, 0.0000)

**Space group**: No. 139



(22)
LiCdBi2 | PBE-GGA | relaxed

Unit cell a=8.5146 b=8.5146 c=8.5146 alpha=31.33 beta=31.33 gamma=31.33
Atoms (fractional coordinates):
Li (0.0000, 0.0000, 0.0000)
Cd (0.5000, 0.5000, 0.5000)
Bi (0.3767, 0.3767, 0.3767)
Bi (0.6233, 0.6233, 0.6233)

**Space group**: No. 166



(23)
LiCdBi2 | PBE-GGA | relaxed

Unit cell a=3.9457 b=3.9457 c=6.7362 alpha=90.00 beta=90.00 gamma=90.00
Atoms (fractional coordinates):
Li (0.0000, 0.0000, 0.0000)
Cd (0.0000, 0.0000, 0.5000)
Bi (0.5000, 0.5000, 0.2399)
Bi (0.5000, 0.5000, 0.7601)

**Space group**: No. 123



(24)
Li5Cd2Bi4 | PBE-GGA | relaxed

Unit cell a=9.8248 b=9.8248 c=8.6141 alpha=92.88 beta=92.88 gamma=20.81
Atoms (fractional coordinates):
Li (0.0000, 0.0000, 0.0000)
Li (0.3035, 0.3035, 0.5794)
Li (0.3137, 0.3137, 0.9302)
Li (0.6863, 0.6863, 0.0698)
Li (0.6965, 0.6965, 0.4206)
Cd (0.4265, 0.4265, 0.3874)
Cd (0.5735, 0.5735, 0.6126)
Bi (0.2861, 0.2861, 0.2467)
Bi (0.4383, 0.4383, 0.7471)
Bi (0.5617, 0.5617, 0.2529)
Bi (0.7139, 0.7139, 0.7533)

**Space group**: No. 12



(25)
LiCd4Bi | PBE-GGA | relaxed

Unit cell a=5.9167 b=5.9167 c=5.9167 alpha=60.00 beta=60.00 gamma=60.00
Atoms (fractional coordinates):
Li (0.0000, 0.0000, 0.0000)
Cd (0.3744, 0.3744, 0.3744)
Cd (0.3744, 0.3744, 0.8768)
Cd (0.3744, 0.8768, 0.3744)
Cd (0.8768, 0.3744, 0.3744)
Bi (0.7500, 0.7500, 0.7500)

**Space group**: No. 216



Computed final energy (eV per atom) in order:
-2.511, -2.311, -2.734, -2.375, -2.440, -2.388, -2.518, -2.210, -3.019, -2.235, -2.555, -2.790, -2.672, -2.744, -2.881, -1.845, -2.183, -2.479, -2.871, -2.720, -1.970, -2.515, -2.763, -2.688, -1.611